Compound: Gd2VFeO6
Source: the Alexandria database
Functional: PBE with a Hubbard U
Structure: relaxed

abc: 5.4175 5.7880 9.2274
angles: 90.00 124.28 90.00
Space group P2_1/c (No. 14)
Unique sites:
1 Gd 0.2223 0.0721 0.2471 [4 per cell]
2 V 0.5000 0.0000 0.0000 [2 per cell]
3 Fe 0.0000 0.0000 0.5000 [2 per cell]
4 O 0.1481 0.1837 0.9460 [4 per cell]
5 O 0.2574 0.7054 0.9395 [4 per cell]
6 O 0.3752 0.0366 0.7620 [4 per cell]

Output
total magnetic moment = 19.04 μB/f.u.
energy = -195.2 eV/cell